First-principles (GGA+U) data for a geometry-optimized MnBOsO2 structure, as listed in the Alexandria database.

Geometry as extended XYZ:
```
5
Lattice="3.483 0.000 0.000 0.000 3.483 0.000 0.000 0.000 4.395" Properties=species:S:1:pos:R:3 pbc="T T T"
Mn 0.000 0.000 0.000
B 0.000 0.000 2.197
Os 1.741 1.741 0.000
O 0.000 1.741 2.197
O 1.741 0.000 2.197
```

Summary:
spin magnetization: 0.32 μB/atom
E_tot: -6.074 eV per atom
N(E_F): 3.1 states/eV per cell